(1)
ZrBePb, relaxed, DFT GGA-PBE; D(E_F) = 0.5274 states/eV/atom; polymorph energy (0 for the lowest one) = 117.7 meV per atom; electronic total energy = -5.168 eV per atom; total moment = 0.00 μB per formula unit; energy relative to the elements = 15.4 kJ per mole of atoms
1.0
0.000 2.606 5.444
2.086 0.000 5.444
2.086 2.606 0.000
Zr Be Pb
1 1 1
Cartesian
0.000 0.000 0.000 Zr
2.086 2.606 3.883 Be
2.086 2.606 7.706 Pb

(2)
Zr2BePb, relaxed, DFT GGA-PBE; D(E_F) = 0.7941 states/eV/atom; polymorph energy (0 for the lowest one) = 258.9 meV per atom; electronic total energy = -5.964 eV per atom; total moment = 0.00 μB per formula unit; energy relative to the elements = 16.2 kJ per mole of atoms
1.0
3.243 0.000 0.000
0.000 3.243 0.000
0.000 0.000 7.967
Zr Be Pb
2 1 1
Cartesian
0.000 0.000 0.000 Zr
1.621 1.621 2.269 Zr
0.000 0.000 3.779 Be
1.621 1.621 5.563 Pb

(3)
Zr2BePb, relaxed, DFT GGA-PBE; D(E_F) = 0.8048 states/eV/atom; polymorph energy (0 for the lowest one) = 156.2 meV per atom; electronic total energy = -6.067 eV per atom; total moment = 0.00 μB per formula unit; energy relative to the elements = 6.3 kJ per mole of atoms
1.0
3.680 0.000 0.000
0.000 3.680 0.000
0.000 0.000 5.965
Zr Be Pb
2 1 1
Cartesian
0.000 0.000 1.407 Zr
0.000 0.000 4.558 Zr
1.840 1.840 0.000 Be
1.840 1.840 2.983 Pb

(4)
Zr2BePb, relaxed, DFT GGA-PBE; D(E_F) = 0.9482 states/eV/atom; polymorph energy (0 for the lowest one) = 37.4 meV per atom; electronic total energy = -6.186 eV per atom; total moment = 0.00 μB per formula unit; energy relative to the elements = -5.1 kJ per mole of atoms
1.0
2.205 -2.220 0.000
2.205 2.220 0.000
0.000 0.000 8.209
Zr Be Pb
2 1 1
Cartesian
0.000 0.000 1.643 Zr
0.000 0.000 6.565 Zr
2.205 0.000 0.000 Be
2.205 0.000 4.104 Pb